No. 1
The following is a DFT calculation (PBE-GGA) of Zn2ReP2 after structural relaxation.

Computed properties:
D(E_F)	0.491	states/eV per atom
energy of formation from the pure elements	37.1	kJ/mol of formula units
crystal system	tetragonal
magnetization	0.000	μB per atom
polymorph energy (0 for the lowest one)	0.000	eV per formula unit

Cell lengths 6.0298, 6.0298, 4.1592 Å; angles 90.00, 90.00, 90.00 degrees
With the nearest neighbours (Å) after each atom.
Element x y z (fractional)
Zn  0.1953  0.3047  0.0000  2 P 2.56
Zn  0.3047  0.8047  0.0000  2 P 2.56
Zn  0.6953  0.1953  0.0000  2 P 2.56
Zn  0.8047  0.6953  0.0000  2 P 2.56
Re  0.0000  0.0000  0.5000  4 P 2.37
Re  0.5000  0.5000  0.5000  4 P 2.37
P  0.1295  0.6295  0.5000  1 P 2.21, 2 Re 2.37
P  0.3705  0.1295  0.5000  1 P 2.21, 2 Re 2.37
P  0.6295  0.8705  0.5000  1 P 2.21, 2 Re 2.37
P  0.8705  0.3705  0.5000  1 P 2.21, 2 Re 2.37

No. 2
The following is a DFT calculation (PBE-GGA) of BaZrTe2 after structural relaxation.

Computed properties:
D(E_F)	0.625	states/eV per atom
ΔE_f (raw)	-1.079	eV/atom
crystal system	trigonal
magnetization	0.000	μB per atom
polymorph energy (0 for the lowest one)	0.045	eV per formula unit

Cell lengths 4.3325, 4.3325, 24.0653 Å; angles 90.00, 90.00, 120.00 degrees
With the nearest neighbours (Å) after each atom.
Element x y z (fractional)
Ba  0.0000  0.0000  0.0000  6 Te 3.38-3.52
Ba  0.3333  0.6667  0.6667  6 Te 3.38-3.52
Ba  0.6667  0.3333  0.3333  6 Te 3.38-3.52
Zr  0.0000  0.0000  0.8264  6 Te 2.95-3.02
Zr  0.3333  0.6667  0.4930  6 Te 2.95-3.02
Zr  0.6667  0.3333  0.1597  6 Te 2.95-3.02
Te  0.0000  0.0000  0.2303  3 Zr 3.02
Te  0.0000  0.0000  0.4277  3 Zr 2.95
Te  0.3333  0.6667  0.0943  3 Zr 2.95
Te  0.3333  0.6667  0.8970  3 Zr 3.02
Te  0.6667  0.3333  0.5637  3 Zr 3.02
Te  0.6667  0.3333  0.7610  3 Zr 2.95

No. 3
The following is a DFT calculation (PBE-GGA) of Ca3ErAl8 after structural relaxation.

Computed properties:
D(E_F)	0.513	states/eV per atom
energy of formation from the pure elements	-411.0	kJ/mol of formula units
crystal system	trigonal
magnetization	0.000	μB per atom
polymorph energy (0 for the lowest one)	0.148	eV per formula unit

Cell lengths 5.6424, 5.6424, 9.1429 Å; angles 90.00, 90.00, 120.00 degrees
With the nearest neighbours (Å) after each atom.
Element x y z (fractional)
Ca  0.0000  0.0000  0.0000  12 Al 3.30-3.34, 4 Ca 3.35-3.48
Ca  0.0000  0.0000  0.3665  12 Al 3.26-3.32, 1 Ca 3.35, 3 Er 3.48
Ca  0.3333  0.6667  0.8676  12 Al 3.30-3.33, 1 Er 3.35, 3 Ca 3.48
Er  0.3333  0.6667  0.5012  12 Al 3.26-3.31, 4 Ca 3.35-3.48
Al  0.0090  0.5045  0.1873  6 Al 2.75-2.90
Al  0.3260  0.1630  0.6794  6 Al 2.76-2.88
Al  0.4955  0.5045  0.1873  6 Al 2.75-2.90
Al  0.4955  0.9910  0.1873  6 Al 2.75-2.90
Al  0.6667  0.3333  0.4341  6 Al 2.79-2.81
Al  0.6667  0.3333  0.9342  6 Al 2.86
Al  0.8370  0.1630  0.6794  6 Al 2.76-2.88
Al  0.8370  0.6740  0.6794  6 Al 2.76-2.88

No. 4
The following is a DFT calculation (PBE-GGA) of PuTiPd3 after structural relaxation.

Computed properties:
D(E_F)	2.536	states/eV per atom
energy of formation from the pure elements	-207.2	kJ/mol of formula units
crystal system	monoclinic
magnetization	1.098	μB per atom

Cell lengths 5.2592, 5.6479, 6.2771 Å; angles 90.00, 91.42, 90.00 degrees
With the nearest neighbours (Å) after each atom.
Element x y z (fractional)
Pu  0.1818  0.2500  0.1472  6 Pd 2.88-3.18
Pu  0.8182  0.7500  0.8528  6 Pd 2.88-3.18
Ti  0.0937  0.7500  0.3944  5 Pd 2.52-2.60
Ti  0.9063  0.2500  0.6056  5 Pd 2.52-2.60
Pd  0.3229  0.0090  0.6694  2 Ti 2.54-2.60, 2 Pd 2.72-2.80
Pd  0.3229  0.4910  0.6694  2 Ti 2.54-2.60, 2 Pd 2.72-2.80
Pd  0.3284  0.7500  0.0495  1 Ti 2.52, 2 Pd 2.80
Pd  0.6716  0.2500  0.9505  1 Ti 2.52, 2 Pd 2.80
Pd  0.6771  0.5090  0.3306  2 Ti 2.54-2.60, 2 Pd 2.72-2.80
Pd  0.6771  0.9910  0.3306  2 Ti 2.54-2.60, 2 Pd 2.72-2.80

Number 1: energy -50.86 eV for the cell shown. Number 2: energy -63.21 eV for the cell shown. Number 3: energy -44.77 eV for the cell shown. Number 4: energy -79.91 eV for the cell shown.